(1)
A plane-wave DFT calculation with PBE was carried out for crystalline LaZrCu at its relaxed geometry.

```
6
Lattice="4.374 -2.525 0.000 0.000 5.050 0.000 0.000 0.000 6.020" Properties=species:S:1:pos:R:3 pbc="T T T"
Cu 0.000 0.000 3.010
Cu 0.000 0.000 0.000
La 1.458 2.525 1.505
La 2.916 0.000 4.515
Zr 2.916 0.000 1.505
Zr 1.458 2.525 4.515
```

Summary:
SG: No. 194
energy above the most stable polymorph in this dataset: 550 meV/atom
electronic total energy: -5.357 eV/atom
energy relative to the elements: 144.9 kJ/mol of formula units
density of states at the Fermi level: 3.1 states/eV/f.u.

(2)
A plane-wave DFT calculation with PBE was carried out for crystalline LiThCuRu at its relaxed geometry.

```
4
Lattice="4.713 0.000 0.000 2.357 4.082 0.000 2.357 1.361 3.848" Properties=species:S:1:pos:R:3 pbc="T T T"
Cu 2.357 1.361 0.962
Li 0.000 0.000 0.000
Ru 7.070 4.082 2.886
Th 4.713 2.721 1.924
```

Summary:
SG: No. 216
electronic total energy: -5.706 eV/atom
energy relative to the elements: -11.6 kJ/mol of formula units
density of states at the Fermi level: 2.7 states/eV/f.u.